Material: Li7GaAu2
Method: DFT, GGA-PBE
State: optimized geometry

Geometry as extended XYZ:
```
10
Lattice="4.504 0.000 0.000 0.000 7.404 -0.185 0.000 -3.432 6.563" Properties=species:S:1:pos:R:3 pbc="T T T"
Li 0.000 -1.051 5.081
Li 2.252 1.986 3.189
Li 2.252 -0.553 1.915
Au 2.252 4.132 1.853
Li 0.000 5.023 1.298
Li 2.252 2.010 6.030
Li 2.252 4.525 4.464
Ga 0.000 0.000 0.000
Au 2.252 -0.160 4.526
Li 2.252 1.962 0.348
```

Summary:
As for the energy: -24.311 eV/cell. Its space-group type is Cmmm (65).



Material: BeFe2Ir
Method: DFT, GGA-PBE
State: optimized geometry

Geometry as extended XYZ:
```
8
Lattice="3.340 0.000 0.000 0.000 3.340 0.000 1.670 1.670 8.713" Properties=species:S:1:pos:R:3 pbc="T T T"
Be 1.670 1.670 0.000
Fe 2.505 2.560 6.535
Ir 3.340 1.670 4.356
Fe 2.450 0.835 2.178
Ir 0.000 0.000 0.000
Be 1.670 3.340 4.356
Fe 4.175 4.120 6.535
Fe 0.890 2.505 2.178
```

Summary:
As for the energy: -56.789 eV/cell. Its space-group type is I-42d (122).



Material: CsBaTl
Method: DFT, GGA-PBE
State: optimized geometry

Geometry as extended XYZ:
```
3
Lattice="4.477 0.000 0.000 0.000 4.477 0.000 -2.239 -2.239 8.475" Properties=species:S:1:pos:R:3 pbc="T T T"
Ba 0.000 0.000 4.841
Tl 2.239 2.239 3.155
Cs 0.000 0.000 0.478
```

Summary:
As for the energy: -5.529 eV/cell. Its space-group type is I4mm (107).



Material: SmHo5Hg3
Method: DFT, GGA-PBE
State: optimized geometry

Geometry as extended XYZ:
```
18
Lattice="6.942 0.000 0.000 0.000 9.063 0.000 0.000 -4.531 7.848" Properties=species:S:1:pos:R:3 pbc="T T T"
Ho 5.206 3.022 5.234
Ho 1.735 6.044 0.000
Hg 5.206 1.523 2.637
Hg 1.735 3.009 5.211
Ho 3.471 0.000 5.232
Ho 5.206 3.019 0.000
Hg 5.206 6.017 0.000
Ho 5.206 7.553 2.614
Ho 0.000 0.000 5.232
Hg 1.735 -1.523 2.637
Sm 0.000 0.000 0.000
Ho 0.000 4.531 2.616
Sm 3.471 0.000 0.000
Hg 1.735 3.046 0.000
Ho 3.471 4.531 2.616
Ho 1.735 1.509 2.614
Ho 1.735 -3.022 5.234
Hg 5.206 6.054 5.211
```

Summary:
As for the energy: -62.458 eV/cell. Its space-group type is P6_3/mcm (193).



Material: LaHSe2
Method: DFT, GGA-PBE
State: optimized geometry

Geometry as extended XYZ:
```
16
Lattice="-6.441 -3.369 -2.173 -0.369 -3.718 6.857 -3.725 7.414 -0.452" Properties=species:S:1:pos:R:3 pbc="T T T"
Se -5.510 -2.528 -0.674
Se -4.791 -3.087 4.118
Se -8.899 1.208 -0.357
Se -3.493 0.738 1.530
H -3.502 -3.587 4.735
La -4.585 0.054 4.179
H -2.951 3.145 1.833
Se -7.042 -0.410 2.702
H -7.033 3.915 -0.503
H -7.585 -2.817 2.400
Se -1.636 -0.881 4.589
La -1.222 -1.106 1.421
Se -5.744 3.414 0.114
La -9.313 1.433 2.812
Se -5.025 2.855 4.907
La -5.950 0.274 0.053
```

Summary:
As for the energy: -80.424 eV/cell. Its space-group type is P2_1/c (14). The value obtained for the energy above the most stable polymorph in this dataset is 0.009 eV per atom.



Material: TbSmEr5Sc2
Method: DFT, GGA-PBE
State: optimized geometry

Geometry as extended XYZ:
```
18
Lattice="-5.012 -1.656 -1.726 5.610 -9.315 1.580 -2.945 -0.278 8.816" Properties=species:S:1:pos:R:3 pbc="T T T"
Er 0.658 -5.469 3.336
Er -0.002 -0.188 0.186
Er -0.215 -6.431 6.792
Er -3.043 -1.531 1.371
Tb -2.095 -7.308 4.161
Sm 1.271 -8.284 4.255
Sc -2.532 -8.904 6.960
Er -3.431 -3.188 4.086
Sc -1.179 -3.042 6.339
Er -0.988 -10.933 4.422
Sm -4.602 -3.058 7.362
Sc -0.253 -2.386 3.022
Sc -0.851 -8.177 1.382
Er -1.958 -4.801 1.357
Er 2.300 -7.946 0.946
Tb 1.109 -3.812 0.437
Er 0.706 -9.717 7.270
Er -3.507 -5.827 6.838
```

Summary:
As for the energy: -86.582 eV/cell. Its space-group type is Cmc2_1 (36).



Material: Cs2PtNCl6
Method: DFT, GGA-PBE
State: optimized geometry

Geometry as extended XYZ:
```
10
Lattice="-2.912 5.383 4.448 0.256 -4.733 5.896 3.618 2.040 6.334" Properties=species:S:1:pos:R:3 pbc="T T T"
Cl -0.484 1.403 10.855
Cl -0.585 0.143 2.278
Cl -2.071 0.506 8.066
Pt 0.000 0.000 0.000
Cl -0.442 -2.506 5.577
Cs 1.273 -1.184 8.701
N -1.328 0.325 5.172
Cl 1.445 1.286 5.824
Cs -0.311 3.874 7.977
Cl -2.215 3.155 4.767
```

Summary:
As for the energy: -33.306 eV/cell. Its raw formation energy is -0.6153 eV per atom. Its space-group type is I4/mmm (139).



Material: ZrMnIn2
Method: DFT, GGA-PBE
State: optimized geometry

Geometry as extended XYZ:
```
4
Lattice="-2.660 1.919 0.316 -1.937 -2.662 -0.146 0.401 -0.716 7.730" Properties=species:S:1:pos:R:3 pbc="T T T"
In 0.397 -0.708 7.651
Mn 0.201 -0.358 3.865
Zr -2.011 -0.885 5.631
In -2.181 -0.581 2.348
```

Summary:
As for the energy: -22.903 eV/cell. Its space-group type is P4mm (99).



Material: FeAs
Method: DFT, GGA-PBE
State: optimized geometry

Geometry as extended XYZ:
```
2
Lattice="3.516 0.000 0.000 1.758 3.045 0.000 1.758 1.015 2.871" Properties=species:S:1:pos:R:3 pbc="T T T"
As 0.000 0.000 0.000
Fe 3.516 2.030 1.435
```

Summary:
As for the energy: -12.675 eV/cell. Its space-group type is Fm-3m (225).



Material: HgB2PbN
Method: DFT, GGA-PBE
State: optimized geometry

Geometry as extended XYZ:
```
5
Lattice="3.952 0.000 0.000 0.000 5.195 0.000 0.000 0.000 3.952" Properties=species:S:1:pos:R:3 pbc="T T T"
B 0.000 0.000 1.976
Hg 1.976 2.598 1.976
B 1.976 0.000 0.000
Pb 0.000 2.598 0.000
N 0.000 0.000 0.000
```

Summary:
As for the energy: -16.668 eV/cell. Its raw formation energy is 1.8044 eV per atom. Its space-group type is P4/mmm (123).



Material: SmEuHgPt
Method: DFT, GGA-PBE
State: optimized geometry

Geometry as extended XYZ:
```
4
Lattice="-2.666 2.688 3.593 -5.211 -0.273 0.130 -2.385 -2.514 3.903" Properties=species:S:1:pos:R:3 pbc="T T T"
Sm 0.000 0.000 0.000
Pt -2.565 -0.025 1.906
Hg -7.696 -0.074 5.719
Eu -5.131 -0.049 3.813
```

Summary:
As for the energy: -24.201 eV/cell. Its space-group type is F-43m (216).



Material: TbPm4Y
Method: DFT, GGA-PBE
State: optimized geometry

Geometry as extended XYZ:
```
6
Lattice="3.481 0.000 0.000 0.000 8.288 -0.019 0.000 -0.005 8.288" Properties=species:S:1:pos:R:3 pbc="T T T"
Pm 3.481 1.978 1.975
Y 0.000 4.142 4.135
Pm 1.741 6.132 2.141
Pm 0.000 6.305 6.294
Pm 1.741 2.151 6.129
Tb 1.741 0.000 0.000
```

Summary:
As for the energy: -26.274 eV/cell. Its space-group type is Cmmm (65). The value obtained for the energy above the most stable polymorph in this dataset is 0.530 eV per atom.



Material: CrCdBr2
Method: DFT, GGA-PBE
State: optimized geometry

Geometry as extended XYZ:
```
4
Lattice="-1.051 -2.359 3.120 0.936 -1.189 -3.757 10.159 -0.832 2.794" Properties=species:S:1:pos:R:3 pbc="T T T"
Br 9.296 -0.761 2.557
Cd 2.482 -1.982 0.380
Cr 7.561 -2.398 1.777
Br 5.942 -0.487 1.634
```

Summary:
As for the energy: -15.071 eV/cell. Its raw formation energy is -0.2966 eV per atom. Its space-group type is Cmmm (65). The value obtained for the energy above the most stable polymorph in this dataset is 0.034 eV per atom.



Material: CdAs8
Method: DFT, GGA-PBE
State: optimized geometry

Geometry as extended XYZ:
```
9
Lattice="-4.127 4.127 2.724 4.127 -4.127 2.724 4.127 4.127 -2.724" Properties=species:S:1:pos:R:3 pbc="T T T"
As 2.834 0.000 0.000
As 0.000 5.419 0.000
As 0.000 2.834 0.000
Cd 0.000 0.000 0.000
As 5.419 0.000 0.000
As -1.339 1.339 2.724
As 2.788 2.788 0.000
As 1.339 -1.339 2.724
As 1.339 1.339 2.724
```

Summary:
As for the energy: -34.282 eV/cell. Its space-group type is I4/mmm (139).



Material: ZrCu3Pt6
Method: DFT, GGA-PBE
State: optimized geometry

Geometry as extended XYZ:
```
20
Lattice="4.026 0.000 0.000 0.000 8.439 -0.420 0.000 -0.207 8.954" Properties=species:S:1:pos:R:3 pbc="T T T"
Cu 1.007 4.584 3.302
Zr 1.007 7.742 5.136
Pt 3.020 7.951 0.428
Cu 3.020 3.648 5.231
Pt 3.020 6.115 4.037
Zr 3.020 0.490 3.397
Pt 3.020 3.113 2.584
Cu 1.007 6.080 8.578
Cu 3.020 2.152 -0.044
Pt 1.007 5.119 5.950
Cu 1.007 2.746 7.142
Cu 3.020 5.486 1.391
Pt 3.020 1.149 6.253
Pt 3.020 6.910 6.754
Pt 1.007 7.083 2.280
Pt 3.020 4.372 7.830
Pt 1.007 1.322 1.779
Pt 1.007 0.281 8.106
Pt 1.007 3.860 0.704
Pt 1.007 2.117 4.496
```

Summary:
As for the energy: -122.754 eV/cell. Its space-group type is P2_1/m (11).



Material: Dy4Hg3Pd
Method: DFT, GGA-PBE
State: optimized geometry

Geometry as extended XYZ:
```
8
Lattice="-3.520 0.919 0.277 -0.622 -2.986 2.003 2.965 7.644 12.319" Properties=species:S:1:pos:R:3 pbc="T T T"
Hg 0.168 4.739 10.441
Dy 0.334 0.861 1.388
Hg -1.345 0.839 4.157
Dy 1.100 2.835 4.569
Dy 1.865 4.809 7.750
Hg -0.588 2.789 7.299
Pd -2.071 -1.033 1.140
Dy 2.631 6.783 10.931
```

Summary:
As for the energy: -29.172 eV/cell. Its space-group type is P4/mmm (123).



Material: DySbTe3
Method: DFT, GGA-PBE
State: optimized geometry

Geometry as extended XYZ:
```
5
Lattice="10.796 0.010 0.006 9.917 4.267 0.006 9.917 2.048 3.744" Properties=species:S:1:pos:R:3 pbc="T T T"
Te 0.061 0.013 0.007
Te 23.986 4.953 2.941
Dy 12.171 2.513 1.492
Sb 18.427 3.805 2.260
Te 6.614 1.366 0.811
```

Summary:
As for the energy: -21.853 eV/cell. Its raw formation energy is -0.7406 eV per atom. Its space-group type is R3m (160). The value obtained for the energy above the most stable polymorph in this dataset is 0.000 eV per atom.



Material: RuPt2Rh
Method: DFT, GGA-PBE
State: optimized geometry

Geometry as extended XYZ:
```
4
Lattice="-2.093 3.880 1.694 -3.440 -0.596 1.022 -0.367 -1.716 4.237" Properties=species:S:1:pos:R:3 pbc="T T T"
Ru -1.357 0.080 1.952
Pt -2.581 0.236 4.399
Rh -0.498 -1.357 4.006
Pt -4.829 1.770 4.199
```

Summary:
As for the energy: -27.656 eV/cell. Its space-group type is Cm (8). The value obtained for the energy above the most stable polymorph in this dataset is 0.301 eV per atom.



Material: VWCl2
Method: DFT, GGA-PBE
State: optimized geometry

Geometry as extended XYZ:
```
4
Lattice="1.712 0.000 8.219 -0.856 1.483 8.219 -0.856 -1.483 8.219" Properties=species:S:1:pos:R:3 pbc="T T T"
Cl 0.000 0.000 22.233
V 0.000 0.000 12.328
Cl 0.000 0.000 2.423
W 0.000 0.000 0.000
```

Summary:
As for the energy: -25.164 eV/cell. Its raw formation energy is 0.1503 eV per atom. Its space-group type is R-3m (166). The value obtained for the energy above the most stable polymorph in this dataset is 0.000 eV per atom.



Material: AcZnGePd6
Method: DFT, GGA-PBE
State: optimized geometry

Geometry as extended XYZ:
```
18
Lattice="-2.335 -1.566 6.201 8.460 -3.330 2.345 -1.556 7.588 -2.407" Properties=species:S:1:pos:R:3 pbc="T T T"
Ge -1.168 -0.783 3.100
Pd 4.211 -0.736 3.052
Pd 1.660 4.302 -0.374
Pd 2.908 -1.610 6.512
Zn -1.946 3.011 1.897
Ge 3.062 -2.448 4.273
Pd 4.809 1.676 4.320
Pd 1.159 -0.894 3.948
Pd -2.042 4.283 4.051
Pd 0.357 3.428 3.086
Pd 6.112 2.550 0.860
Zn -0.778 3.794 -1.204
Ac 1.955 1.823 4.935
Pd 6.610 -1.591 2.088
Pd -1.544 0.142 5.278
Pd -0.241 1.016 1.818
Ac 2.613 0.869 1.204
Pd 3.409 3.586 2.190
```

Summary:
As for the energy: -88.111 eV/cell. Its space-group type is Imma (74).